ZnSb2TeI: relaxed, PBE-GGA.

Structure (CIF):
```
data_ZnSb2TeI
_cell_length_a 5.449
_cell_length_b 5.449
_cell_length_c 5.188
_cell_angle_alpha 90.00
_cell_angle_beta 90.00
_cell_angle_gamma 90.00
_space_group_name_H-M_alt 'P 1'
_space_group_IT_number 1
loop_
_space_group_symop_operation_xyz
'x,y,z'
loop_
_atom_site_label
_atom_site_type_symbol
_atom_site_fract_x
_atom_site_fract_y
_atom_site_fract_z
Sb1 Sb 0.000 0.500 0.000
I1 I 0.500 0.500 0.500
Sb2 Sb 0.500 0.000 0.000
Te1 Te 0.000 0.000 0.500
Zn1 Zn 0.000 0.000 0.000
```

Properties
The excess energy over the best structure of this formula in the dataset comes out at 3 kJ/mol of formula units. The formation energy from raw total energies comes out at 463.6 meV/atom. The total moment is 0.00 μB per formula unit.

***

BiP2Cl: relaxed, PBE-GGA.

Structure (CIF):
```
data_BiP2Cl
_cell_length_a 4.885
_cell_length_b 4.885
_cell_length_c 4.885
_cell_angle_alpha 60.00
_cell_angle_beta 60.00
_cell_angle_gamma 60.00
_space_group_name_H-M_alt 'P 1'
_space_group_IT_number 1
loop_
_space_group_symop_operation_xyz
'x,y,z'
loop_
_atom_site_label
_atom_site_type_symbol
_atom_site_fract_x
_atom_site_fract_y
_atom_site_fract_z
P1 P 0.750 0.750 0.750
Cl1 Cl 0.000 0.000 0.000
Bi1 Bi 0.500 0.500 0.500
P2 P 0.250 0.250 0.250
```

Properties
The excess energy over the best structure of this formula in the dataset comes out at 0 kJ/mol of formula units. The formation energy from raw total energies comes out at 613.6 meV/atom. The total moment is 0.00 μB per formula unit.

***

Which of these has the highest formation energy from raw total energies?
BiP2Cl